First-principles (PBE-GGA) data for SmH5Ru after structural relaxation, as listed in Alexandria.

Structure (extended XYZ):
```
7
Lattice="-1.814 2.500 3.401 1.814 -2.500 3.401 1.814 2.500 -3.401" Properties=species:S:1:pos:R:3 pbc="T T T"
Sm 0.000 0.000 0.000
H 1.814 1.237 -1.135
H 1.814 1.237 1.135
H 0.000 2.500 0.000
H 0.000 1.262 2.266
H 0.000 1.262 4.536
Ru 0.000 0.000 3.401
```

Mass density in Mg/m³: 6.91
DFT total energy in eV per atom: -4.7500
Space-group type: No. 71

=====

First-principles (PBE-GGA) data for SmH2Ru after structural relaxation, as listed in Alexandria.

Structure (extended XYZ):
```
4
Lattice="1.695 0.979 4.665 -1.695 0.979 4.665 0.000 -1.957 4.665" Properties=species:S:1:pos:R:3 pbc="T T T"
Sm 0.000 0.000 0.000
H 0.000 0.000 2.930
H 0.000 0.000 11.065
Ru 0.000 0.000 6.998
```

Mass density in Mg/m³: 9.07
DFT total energy in eV per atom: -5.2529
Space-group type: No. 166

=====

First-principles (PBE-GGA) data for SmH6Ru2 after structural relaxation, as listed in Alexandria.

Structure (extended XYZ):
```
9
Lattice="2.873 -3.068 0.000 2.873 3.068 0.000 -1.717 0.000 4.719" Properties=species:S:1:pos:R:3 pbc="T T T"
Sm 0.000 0.000 0.000
H 0.532 1.192 3.386
H 1.889 0.000 1.447
H 3.497 1.192 1.333
H 0.532 -1.192 3.386
H 2.139 0.000 3.272
H 3.497 -1.192 1.333
Ru 2.014 1.511 2.360
Ru 2.014 -1.511 2.360
```

Mass density in Mg/m³: 7.16
DFT total energy in eV per atom: -4.9651
Space-group type: No. 12

=====

First-principles (PBE-GGA) data for Sm5H12Ru2 after structural relaxation, as listed in Alexandria.

Structure (extended XYZ):
```
19
Lattice="5.636 -2.906 0.000 5.636 2.906 0.000 -1.869 0.000 7.091" Properties=species:S:1:pos:R:3 pbc="T T T"
Sm 0.000 0.000 0.000
Sm 2.134 0.000 4.669
Sm 3.532 0.000 1.033
Sm 5.872 0.000 6.058
Sm 7.270 0.000 2.421
H -0.491 0.000 2.469
H 2.025 1.511 6.413
H 3.075 1.303 2.952
H 7.379 1.511 0.677
H 6.328 1.303 4.139
H 4.337 0.000 4.482
H 5.066 0.000 2.609
H 3.075 -1.303 2.952
H 2.025 -1.511 6.413
H 6.328 -1.303 4.139
H 7.379 -1.511 0.677
H 9.894 0.000 4.622
Ru 4.702 1.505 3.545
Ru 4.702 -1.505 3.545
```

Mass density in Mg/m³: 6.91
DFT total energy in eV per atom: -4.7659
Space-group type: No. 12

=====

First-principles (PBE-GGA) data for Sm12H5Ru3 after structural relaxation, as listed in Alexandria.

Structure (extended XYZ):
```
80
Lattice="-7.692 7.692 7.692 7.692 -7.692 7.692 7.692 7.692 -7.692" Properties=species:S:1:pos:R:3 pbc="T T T"
Sm 2.389 -0.502 0.970
Sm 9.149 4.816 -4.349
Sm 7.190 -0.970 2.389
Sm 12.041 -1.457 2.876
Sm 10.082 0.502 0.970
Sm 9.149 -2.876 4.349
Sm 0.970 2.389 -0.502
Sm 10.569 3.344 -1.457
Sm 4.816 4.349 -1.457
Sm 6.723 2.389 0.502
Sm -0.502 0.970 2.389
Sm 4.349 -1.457 4.816
Sm 7.190 6.723 -2.389
Sm 4.349 1.457 2.876
Sm 6.723 -2.389 7.190
Sm 4.816 -4.349 9.149
Sm 2.876 4.349 1.457
Sm 8.662 5.303 0.502
Sm 2.389 7.190 -0.970
Sm 9.149 2.876 3.344
Sm 4.349 9.149 -2.876
Sm 7.190 0.970 5.303
Sm 1.457 2.876 4.349
Sm 2.389 0.502 6.723
Sm 5.303 7.190 0.970
Sm 6.235 4.816 3.344
Sm 0.502 6.723 2.389
Sm 3.344 -1.457 10.569
Sm -1.457 4.816 4.349
Sm 5.303 0.502 8.662
Sm -0.970 2.389 7.190
Sm 4.816 3.344 6.235
Sm 2.876 12.041 -1.457
Sm 0.970 10.082 0.502
Sm 3.344 6.235 4.816
Sm 0.502 0.970 10.082
Sm 3.344 9.149 2.876
Sm 8.195 6.723 5.303
Sm 0.970 5.303 7.190
Sm 2.876 3.344 9.149
Sm -2.876 4.349 9.149
Sm 6.723 5.303 8.195
Sm -1.457 10.569 3.344
Sm -2.389 7.190 6.723
Sm -4.349 9.149 4.816
Sm 0.502 8.662 5.303
Sm -1.457 2.876 12.041
Sm 5.303 8.195 6.723
H 0.000 0.000 0.000
H 3.846 3.846 -3.846
H 3.846 -3.846 3.846
H 7.692 0.000 0.000
H 11.538 1.923 0.000
H 7.692 -3.846 5.769
H 5.769 7.692 -3.846
H 5.769 0.000 3.846
H 3.846 5.769 0.000
H 7.692 3.846 1.923
H -3.846 3.846 3.846
H 0.000 7.692 0.000
H 0.000 0.000 7.692
H 3.846 3.846 3.846
H 0.000 3.846 5.769
H 3.846 1.923 7.692
H 1.923 7.692 3.846
H 1.923 0.000 11.538
H 0.000 11.538 1.923
H -3.846 5.769 7.692
Ru 3.846 1.923 0.000
Ru 7.692 3.846 -1.923
Ru 1.923 0.000 3.846
Ru 9.615 0.000 3.846
Ru 0.000 3.846 1.923
Ru 3.846 -1.923 7.692
Ru 3.846 9.615 0.000
Ru 7.692 3.846 5.769
Ru -1.923 7.692 3.846
Ru 5.769 7.692 3.846
Ru 0.000 3.846 9.615
Ru 3.846 5.769 7.692
```

Mass density in Mg/m³: 7.71
DFT total energy in eV per atom: -5.3240
Space-group type: No. 230

=====

First-principles (PBE-GGA) data for SmH6Ru after structural relaxation, as listed in Alexandria.

Structure (extended XYZ):
```
8
Lattice="2.349 1.356 3.423 -2.349 1.356 3.423 0.000 -2.712 3.423" Properties=species:S:1:pos:R:3 pbc="T T T"
Sm 0.000 0.000 0.000
H -1.317 -0.760 4.395
H 0.000 -1.521 5.875
H -1.317 0.760 5.875
H 1.317 -0.760 4.395
H 0.000 1.521 4.395
H 1.317 0.760 5.875
Ru 0.000 0.000 5.135
```

Mass density in Mg/m³: 6.54
DFT total energy in eV per atom: -4.4543
Space-group type: No. 166

=====

First-principles (PBE-GGA) data for SmHRu after structural relaxation, as listed in Alexandria.

Structure (extended XYZ):
```
3
Lattice="3.377 0.000 0.000 -1.688 2.924 0.000 0.000 0.000 4.528" Properties=species:S:1:pos:R:3 pbc="T T T"
Sm 0.000 0.000 0.000
H 0.000 1.950 2.264
Ru 1.688 0.975 2.264
```

Mass density in Mg/m³: 9.37
DFT total energy in eV per atom: -5.8001
Space-group type: No. 187
Energy above the most stable polymorph in this dataset in meV/atom: 161

=====

First-principles (PBE-GGA) data for SnH2Ru2 after structural relaxation, as listed in Alexandria.

Structure (extended XYZ):
```
5
Lattice="-1.586 1.586 5.421 1.586 -1.586 5.421 1.586 1.586 -5.421" Properties=species:S:1:pos:R:3 pbc="T T T"
Sn 0.000 0.000 0.000
H 1.586 0.000 2.711
H 0.000 1.586 2.711
Ru 0.000 0.000 3.811
Ru 0.000 0.000 7.031
```

Mass density in Mg/m³: 9.83
DFT total energy in eV per atom: -5.7624
Space-group type: No. 139

=====

First-principles (PBE-GGA) data for SnH3Ru after structural relaxation, as listed in Alexandria.

Structure (extended XYZ):
```
5
Lattice="3.662 0.000 0.000 0.000 3.662 0.000 0.000 0.000 3.662" Properties=species:S:1:pos:R:3 pbc="T T T"
Sn 0.000 0.000 0.000
H 0.000 1.831 1.831
H 1.831 0.000 1.831
H 1.831 1.831 0.000
Ru 1.831 1.831 1.831
```

Mass density in Mg/m³: 7.53
DFT total energy in eV per atom: -4.4323
Space-group type: No. 221
Energy above the most stable polymorph in this dataset in meV/atom: 234

=====

First-principles (PBE-GGA) data for SnHRu2 after structural relaxation, as listed in Alexandria.

Structure (extended XYZ):
```
8
Lattice="-3.101 3.101 2.754 3.101 -3.101 2.754 3.101 3.101 -2.754" Properties=species:S:1:pos:R:3 pbc="T T T"
Sn 0.000 0.000 0.000
Sn 0.000 3.101 1.377
H 3.101 0.000 1.377
H 0.000 0.000 2.754
Ru 1.551 -0.908 2.066
Ru 2.193 1.551 0.689
Ru 1.551 4.009 -0.689
Ru 0.908 1.551 3.443
```

Mass density in Mg/m³: 10.09
DFT total energy in eV per atom: -6.2990
Space-group type: No. 122
Energy above the most stable polymorph in this dataset in meV/atom: 0